No. 1
Material: LaAl2SiRu2
Method: DFT, PBE
State: optimized geometry

Cell lengths 4.4436, 4.4436, 5.8536 Å; angles 90.00, 90.00, 90.00 degrees
Closest atoms and distances in Å follow each position.
Fractional positions:
1 Ru 0.5000 0.0000 0.0000  2 Si 2.22
2 La 0.0000 0.0000 0.5000  2 Si 2.93
3 Al 0.5000 0.5000 0.7436  4 Ru 2.68, 2 Al 2.85-3.00
4 Al 0.5000 0.5000 0.2564  4 Ru 2.68, 2 Al 2.85-3.00
5 Si 0.0000 0.0000 0.0000  4 Ru 2.22
6 Ru 0.0000 0.5000 0.0000  2 Si 2.22

Formation energy (no corrections) = -494 meV/atom
SG = P4/mmm (123)


No. 2
Material: La2UAlRu4
Method: DFT, PBE
State: optimized geometry

Cell lengths 6.0071, 6.8408, 9.6824 Å; angles 82.17, 71.93, 63.96 degrees
Closest atoms and distances in Å follow each position.
Fractional positions:
1 La 0.9255 0.5000 0.1489  4 Ru 2.92-3.05, 1 Al 3.23
2 La 0.8245 0.0000 0.3511  4 Ru 2.92-3.05, 1 Al 3.23
3 Ru 0.3270 0.7291 0.1289  1 U 2.52, 1 Al 2.56, 2 Ru 2.66-2.82
4 Ru 0.5441 0.2709 0.1289  1 U 2.52, 1 Al 2.56, 2 Ru 2.66-2.82
5 Ru 0.1850 0.2709 0.8711  1 U 2.52, 1 Al 2.56, 2 Ru 2.66-2.82
6 Ru 0.2059 0.2291 0.3711  1 U 2.52, 1 Al 2.56, 2 Ru 2.66-2.82
7 U 0.5000 0.0000 0.0000  4 Ru 2.52
8 Ru 0.8061 0.7709 0.6289  1 U 2.52, 1 Al 2.56, 2 Ru 2.66-2.82
9 Ru 0.4230 0.7709 0.3711  1 U 2.52, 1 Al 2.56, 2 Ru 2.66-2.82
10 Ru 0.5650 0.2291 0.6289  1 U 2.52, 1 Al 2.56, 2 Ru 2.66-2.82
11 Ru 0.9439 0.7291 0.8711  1 U 2.52, 1 Al 2.56, 2 Ru 2.66-2.82
12 Al 0.7500 0.5000 0.5000  4 Ru 2.56
13 La 0.5745 0.5000 0.8511  4 Ru 2.92-3.05, 1 Al 3.23
14 U 0.2500 0.5000 0.5000  4 Ru 2.52
15 La 0.1755 0.0000 0.6489  4 Ru 2.92-3.05, 1 Al 3.23
16 Al 0.0000 0.0000 0.0000  4 Ru 2.56

SG = Fddd (70)
Energy = -8.00 eV per atom


No. 3
Material: LaAl2RuW
Method: DFT, PBE
State: optimized geometry

Cell lengths 4.6724, 4.9665, 4.6724 Å; angles 90.00, 90.00, 90.00 degrees
Closest atoms and distances in Å follow each position.
Fractional positions:
1 Ru 0.0000 0.0000 0.0000  4 Al 2.34, 2 W 2.48
2 Al 0.0000 0.0000 0.5000  2 Ru 2.34
3 Al 0.5000 0.0000 0.0000  2 Ru 2.34
4 W 0.0000 0.5000 0.0000  2 Ru 2.48
5 La 0.5000 0.5000 0.5000  4 W 3.30, 8 Al 3.41

SG = P4/mmm (123)
Energy = -6.75 eV per atom


No. 4
Material: LaAlRu2W
Method: DFT, PBE
State: optimized geometry

Cell lengths 4.7778, 4.8808, 4.7778 Å; angles 90.00, 90.00, 90.00 degrees
Closest atoms and distances in Å follow each position.
Fractional positions:
1 Al 0.0000 0.5000 0.0000  2 W 2.44
2 Ru 0.0000 0.0000 0.5000  2 W 2.39
3 Ru 0.5000 0.0000 0.0000  2 W 2.39
4 La 0.5000 0.5000 0.5000  4 Al 3.38, 8 Ru 3.42
5 W 0.0000 0.0000 0.0000  4 Ru 2.39, 2 Al 2.44

SG = P4/mmm (123)
Energy = -7.49 eV per atom


No. 5
Material: LaY2AlRu
Method: DFT, PBE
State: optimized geometry

Cell lengths 5.2885, 5.2885, 5.0245 Å; angles 90.00, 90.00, 90.00 degrees
Closest atoms and distances in Å follow each position.
Fractional positions:
1 Y 0.0000 0.5000 0.0000  2 Ru 2.64
2 Ru 0.0000 0.0000 0.0000  2 Al 2.51, 4 Y 2.64
3 Y 0.5000 0.0000 0.0000  2 Ru 2.64
4 Al 0.0000 0.0000 0.5000  2 Ru 2.51
5 La 0.5000 0.5000 0.5000  8 Y 3.65, 4 Al 3.74

SG = P4/mmm (123)
Energy = -6.35 eV per atom


No. 6
Material: LaAl2ZnRu
Method: DFT, PBE
State: optimized geometry

Cell lengths 4.6957, 4.6957, 4.8579 Å; angles 90.00, 90.00, 90.00 degrees
Closest atoms and distances in Å follow each position.
Fractional positions:
1 Al 0.5000 0.0000 0.0000  2 Ru 2.35
2 La 0.5000 0.5000 0.5000  4 Zn 3.32, 8 Al 3.38
3 Zn 0.0000 0.0000 0.5000  2 Ru 2.43
4 Al 0.0000 0.5000 0.0000  2 Ru 2.35
5 Ru 0.0000 0.0000 0.0000  4 Al 2.35, 2 Zn 2.43

SG = P4/mmm (123)
Energy = -5.01 eV per atom


No. 7
Material: LaAl2S4
Method: DFT, PBE
State: optimized geometry

Cell lengths 5.9691, 5.9691, 10.1947 Å; angles 90.00, 90.00, 118.78 degrees
Closest atoms and distances in Å follow each position.
Fractional positions:
1 Al 0.2397 0.7636 0.5000  4 S 2.28-2.32
2 S 0.5000 0.0000 0.6689  2 Al 2.29
3 Al 0.2364 0.7603 0.0000  4 S 2.28-2.32
4 S 0.5000 0.0000 0.3311  2 Al 2.29
5 La 0.5000 0.5000 0.7500  8 S 3.04-3.10
6 Al 0.7603 0.2364 0.5000  4 S 2.28-2.32
7 La 0.5000 0.5000 0.2500  8 S 3.04-3.10
8 S 0.8167 0.6496 0.5000  2 Al 2.28-2.32
9 Al 0.7636 0.2397 0.0000  4 S 2.28-2.32
10 S 0.6496 0.8167 0.0000  2 Al 2.28-2.32
11 S 0.1833 0.3504 0.5000  2 Al 2.28-2.32
12 S 0.3504 0.1833 0.0000  2 Al 2.28-2.32
13 S 0.0000 0.5000 0.1689  2 Al 2.29
14 S 0.0000 0.5000 0.8311  2 Al 2.29

Formation energy (no corrections) = -1293 meV/atom
SG = Cccm (66)


No. 8
Material: LaAlS3
Method: DFT, PBE
State: optimized geometry

Cell lengths 4.7663, 6.4911, 8.8002 Å; angles 111.64, 90.00, 90.00 degrees
Closest atoms and distances in Å follow each position.
Fractional positions:
1 S 0.2500 0.5216 0.8816  3 Al 2.35-2.45
2 S 0.7500 0.8975 0.8039  1 Al 2.24
3 Al 0.7500 0.5711 0.8374  5 S 2.24-2.45
4 La 0.7500 0.3464 0.3055  6 S 2.85-3.03
5 La 0.2500 0.0409 0.6945  6 S 2.85-3.03
6 S 0.7500 0.6400 0.1184  3 Al 2.35-2.45
7 S 0.2500 0.6560 0.3987  1 Al 2.31
8 Al 0.2500 0.7337 0.1626  5 S 2.24-2.45
9 S 0.2500 0.0936 0.1961  1 Al 2.24
10 S 0.7500 0.2574 0.6013  1 Al 2.31

Formation energy (no corrections) = -1556 meV/atom
SG = Ama2 (40)


No. 9
Material: La4Al2S
Method: DFT, PBE
State: optimized geometry

Cell lengths 4.4397, 6.7526, 7.8862 Å; angles 75.14, 73.65, 70.81 degrees
Closest atoms and distances in Å follow each position.
Fractional positions:
1 Al 0.3873 0.5652 0.6602  1 Al 2.70
2 La 0.0890 0.1946 0.6274  1 S 2.87
3 Al 0.6127 0.4348 0.3398  1 Al 2.70
4 La 0.6716 0.7385 0.9182  2 S 2.91
5 La 0.9110 0.8054 0.3726  1 S 2.87
6 S 0.0000 0.0000 0.0000  6 La 2.87-2.91
7 La 0.3284 0.2615 0.0818  2 S 2.91

Formation energy (no corrections) = -767 meV/atom
SG = C2/m (12)


No. 10
Material: LaAl3S
Method: DFT, PBE
State: optimized geometry

Cell lengths 4.8976, 4.8976, 4.8976 Å; angles 90.00, 90.00, 90.00 degrees
Closest atoms and distances in Å follow each position.
Fractional positions:
1 Al 0.0000 0.5000 0.0000  2 S 2.45
2 Al 0.5000 0.0000 0.0000  2 S 2.45
3 S 0.0000 0.0000 0.0000  6 Al 2.45
4 La 0.5000 0.5000 0.5000  12 Al 3.46
5 Al 0.0000 0.0000 0.5000  2 S 2.45

Formation energy (no corrections) = 30 meV/atom
SG = Pm-3m (221)


No. 11
Material: LaAlS2
Method: DFT, PBE
State: optimized geometry

Cell lengths 6.1025, 6.1025, 7.1004 Å; angles 64.55, 64.55, 90.00 degrees
Closest atoms and distances in Å follow each position.
Fractional positions:
1 S 0.2009 0.6250 0.2500  2 Al 2.33
2 S 0.3750 0.4509 0.7500  2 Al 2.33
3 Al 0.5000 0.5000 0.0000  4 S 2.33
4 La 0.0000 0.0000 0.0000  4 S 2.88
5 S 0.5491 0.1250 0.2500  2 Al 2.33
6 S 0.8750 0.7991 0.7500  2 Al 2.33
7 La 0.7500 0.2500 0.5000  4 S 2.88
8 Al 0.2500 0.7500 0.5000  4 S 2.33

Formation energy (no corrections) = -964 meV/atom
SG = I-42d (122)


No. 12
Material: La9Al5S21
Method: DFT, PBE
State: optimized geometry

Cell lengths 11.8797, 11.8797, 11.8797 Å; angles 95.65, 95.65, 95.65 degrees
Closest atoms and distances in Å follow each position.
Fractional positions:
1 S 0.3091 0.5453 0.3990  1 Al 2.42
2 La 0.0761 0.4561 0.2204  7 S 2.87-3.08
3 S 0.5457 0.4458 0.0146  1 Al 2.27
4 S 0.2823 0.3658 0.1481  2 Al 2.51-2.61
5 Al 0.3888 0.0479 0.7212  4 S 2.23-2.27
6 S 0.4873 0.6228 0.7184  1 Al 2.35
7 S 0.7809 0.3600 0.8744  1 Al 2.25
8 La 0.5804 0.2058 0.4382  7 S 2.86-3.10
9 S 0.1047 0.6978 0.2117  1 Al 2.27
10 La 0.5490 0.7826 0.9278  7 S 2.87-3.06
11 Al 0.2259 0.5491 0.8830  4 S 2.24-2.27
12 La 0.1161 0.8783 0.7430  7 S 2.89-3.04
13 Al 0.3522 0.3522 0.3522  6 S 2.42-2.51
14 S 0.0003 0.2314 0.0909  1 Al 2.35
15 S 0.3990 0.3091 0.5453  1 Al 2.42
16 La 0.4020 0.7705 0.5492  7 S 2.90-3.11
17 La 0.7826 0.9278 0.5490  7 S 2.87-3.06
18 S 0.5097 0.1721 0.8396  1 Al 2.23
19 S 0.1595 0.6294 0.7272  1 Al 2.27
20 S 0.8396 0.5097 0.1721  1 Al 2.23
21 La 0.5492 0.4020 0.7705  7 S 2.90-3.11
22 S 0.3406 0.6740 0.0067  1 Al 2.24
23 S 0.6740 0.0067 0.3406  1 Al 2.24
24 La 0.4382 0.5804 0.2058  7 S 2.86-3.10
25 S 0.9645 0.0735 0.4792  1 Al 2.26
26 S 0.0146 0.5457 0.4458  1 Al 2.27
27 S 0.0067 0.3406 0.6740  1 Al 2.24
28 S 0.2117 0.1047 0.6978  1 Al 2.27
29 S 0.1481 0.2823 0.3658  2 Al 2.51-2.61
30 Al 0.8545 0.8545 0.8545  6 S 2.43-2.50
31 Al 0.6724 0.6724 0.6724  6 S 2.35-2.62
32 S 0.3922 0.8120 0.2988  1 Al 2.26
33 S 0.5453 0.3990 0.3091  1 Al 2.42
34 S 0.0735 0.4792 0.9645  1 Al 2.26
35 Al 0.7212 0.3888 0.0479  4 S 2.23-2.27
36 La 0.7705 0.5492 0.4020  7 S 2.90-3.11
37 Al 0.1701 0.1701 0.1701  6 S 2.35-2.61
38 S 0.2988 0.3922 0.8120  1 Al 2.26
39 S 0.0283 0.7916 0.9409  1 Al 2.43
40 S 0.7272 0.1595 0.6294  1 Al 2.27
41 Al 0.8830 0.2259 0.5491  4 S 2.24-2.27
42 S 0.7524 0.6674 0.8856  2 Al 2.50-2.62
43 Al 0.5491 0.8830 0.2259  4 S 2.24-2.27
44 S 0.7916 0.9409 0.0283  1 Al 2.43
45 S 0.1721 0.8396 0.5097  1 Al 2.23
46 La 0.7430 0.1161 0.8783  7 S 2.89-3.04
47 S 0.0909 0.0003 0.2314  1 Al 2.35
48 S 0.6674 0.8856 0.7524  2 Al 2.50-2.62
49 S 0.3658 0.1481 0.2823  2 Al 2.51-2.61
50 S 0.8120 0.2988 0.3922  1 Al 2.26
51 S 0.3600 0.8744 0.7809  1 Al 2.25
52 La 0.8756 0.1067 0.2453  7 S 2.90-3.10
53 La 0.9278 0.5490 0.7826  7 S 2.87-3.06
54 La 0.2058 0.4382 0.5804  7 S 2.86-3.10
55 S 0.8744 0.7809 0.3600  1 Al 2.25
56 S 0.9409 0.0283 0.7916  1 Al 2.43
57 S 0.4458 0.0146 0.5457  1 Al 2.27
58 S 0.6978 0.2117 0.1047  1 Al 2.27
59 S 0.6294 0.7272 0.1595  1 Al 2.27
60 S 0.2314 0.0909 0.0003  1 Al 2.35
61 La 0.4561 0.2204 0.0761  7 S 2.87-3.08
62 Al 0.0479 0.7212 0.3888  4 S 2.23-2.27
63 S 0.6228 0.7184 0.4873  1 Al 2.35
64 La 0.8783 0.7430 0.1161  7 S 2.89-3.04
65 S 0.7184 0.4873 0.6228  1 Al 2.35
66 La 0.2453 0.8756 0.1067  7 S 2.90-3.10
67 S 0.8856 0.7524 0.6674  2 Al 2.50-2.62
68 La 0.1067 0.2453 0.8756  7 S 2.90-3.10
69 La 0.2204 0.0761 0.4561  7 S 2.87-3.08
70 S 0.4792 0.9645 0.0735  1 Al 2.26

Formation energy (no corrections) = -1837 meV/atom
SG = R3 (146)


No. 13
Material: LaAlS3
Method: DFT, PBE
State: optimized geometry

Cell lengths 7.3222, 9.0634, 8.1674 Å; angles 118.07, 90.00, 90.00 degrees
Closest atoms and distances in Å follow each position.
Fractional positions:
1 Al 0.8725 0.3200 0.9056  5 S 2.34-2.50
2 S 0.3164 0.3864 0.4339  2 Al 2.34-2.39
3 S 0.1836 0.3864 0.9339  2 Al 2.34-2.39
4 S 0.9790 0.0235 0.7372  1 Al 2.50
5 S 0.3138 0.7484 0.3569  2 Al 2.34-2.36
6 La 0.7773 0.8757 0.9343  8 S 2.88-3.16
7 S 0.0210 0.9765 0.2628  1 Al 2.50
8 Al 0.3725 0.6800 0.5944  5 S 2.34-2.50
9 La 0.2773 0.1243 0.5657  8 S 2.88-3.16
10 S 0.5210 0.0235 0.2372  1 Al 2.50
11 S 0.6862 0.2516 0.6431  2 Al 2.34-2.36
12 S 0.8164 0.6136 0.0661  2 Al 2.34-2.39
13 La 0.7227 0.8757 0.4343  8 S 2.88-3.16
14 La 0.2227 0.1243 0.0657  8 S 2.88-3.16
15 S 0.1862 0.7484 0.8569  2 Al 2.34-2.36
16 S 0.6836 0.6136 0.5661  2 Al 2.34-2.39
17 S 0.8138 0.2516 0.1431  2 Al 2.34-2.36
18 S 0.4790 0.9765 0.7628  1 Al 2.50
19 Al 0.6275 0.3200 0.4056  5 S 2.34-2.50
20 Al 0.1275 0.6800 0.0944  5 S 2.34-2.50

Formation energy (no corrections) = -1594 meV/atom
SG = P2_1/c (14)


No. 14
Material: La2Al2S
Method: DFT, PBE
State: optimized geometry

Cell lengths 7.7073, 7.7073, 5.0140 Å; angles 90.00, 90.00, 90.00 degrees
Closest atoms and distances in Å follow each position.
Fractional positions:
1 La 0.8265 0.6735 0.0000  2 S 2.85
2 Al 0.3781 0.1219 0.5000  1 Al 2.66
3 La 0.1735 0.3265 0.0000  2 S 2.85
4 Al 0.6219 0.8781 0.5000  1 Al 2.66
5 S 0.5000 0.5000 0.0000  4 La 2.85
6 S 0.0000 0.0000 0.0000  4 La 2.85
7 Al 0.1219 0.6219 0.5000  1 Al 2.66
8 Al 0.8781 0.3781 0.5000  1 Al 2.66
9 La 0.3265 0.8265 0.0000  2 S 2.85
10 La 0.6735 0.1735 0.0000  2 S 2.85

Formation energy (no corrections) = -610 meV/atom
SG = P4/mbm (127)


No. 15
Material: La3AlS
Method: DFT, PBE
State: optimized geometry

Cell lengths 5.4744, 5.4744, 5.4744 Å; angles 90.00, 90.00, 90.00 degrees
Closest atoms and distances in Å follow each position.
Fractional positions:
1 La 0.0000 0.5000 0.0000  2 S 2.74
2 Al 0.5000 0.5000 0.5000  12 La 3.87
3 S 0.0000 0.0000 0.0000  6 La 2.74
4 La 0.5000 0.0000 0.0000  2 S 2.74
5 La 0.0000 0.0000 0.5000  2 S 2.74

Formation energy (no corrections) = -782 meV/atom
SG = Pm-3m (221)


No. 16
Material: LaAlS3
Method: DFT, PBE
State: optimized geometry

Cell lengths 5.5457, 5.5457, 5.5457 Å; angles 90.00, 90.00, 90.00 degrees
Closest atoms and distances in Å follow each position.
Fractional positions:
1 S 0.5000 0.0000 0.0000  2 La 2.77
2 La 0.0000 0.0000 0.0000  6 S 2.77
3 Al 0.5000 0.5000 0.5000  12 S 3.92
4 S 0.0000 0.5000 0.0000  2 La 2.77
5 S 0.0000 0.0000 0.5000  2 La 2.77

Formation energy (no corrections) = -239 meV/atom
SG = Pm-3m (221)


No. 17
Material: LaAlS3
Method: DFT, PBE
State: optimized geometry

Cell lengths 4.6671, 4.6671, 4.6671 Å; angles 90.00, 90.00, 90.00 degrees
Closest atoms and distances in Å follow each position.
Fractional positions:
1 S 0.5000 0.0000 0.0000  2 Al 2.33
2 La 0.5000 0.5000 0.5000  12 S 3.30
3 Al 0.0000 0.0000 0.0000  6 S 2.33
4 S 0.0000 0.5000 0.0000  2 Al 2.33
5 S 0.0000 0.0000 0.5000  2 Al 2.33

Formation energy (no corrections) = -1395 meV/atom
SG = Pm-3m (221)


No. 18
Material: LaAlS2
Method: DFT, PBE
State: optimized geometry

Cell lengths 8.4574, 8.4574, 8.4574 Å; angles 28.91, 28.91, 28.91 degrees
Closest atoms and distances in Å follow each position.
Fractional positions:
1 S 0.8965 0.8965 0.8965  1 Al 2.51
2 S 0.1035 0.1035 0.1035  1 Al 2.51
3 Al 0.0000 0.0000 0.0000  2 S 2.51
4 La 0.5000 0.5000 0.5000  6 S 2.88

Formation energy (no corrections) = -1098 meV/atom
SG = R-3m (166)


No. 19
Material: LaAl3S
Method: DFT, PBE
State: optimized geometry

Cell lengths 5.8388, 5.8388, 5.8388 Å; angles 90.00, 90.00, 90.00 degrees
Closest atoms and distances in Å follow each position.
Fractional positions:
1 S 0.5000 0.5000 0.5000  12 Al 4.13
2 Al 0.5000 0.0000 0.0000  2 La 2.92
3 Al 0.0000 0.0000 0.5000  2 La 2.92
4 La 0.0000 0.0000 0.0000  6 Al 2.92
5 Al 0.0000 0.5000 0.0000  2 La 2.92

Formation energy (no corrections) = 1397 meV/atom
SG = Pm-3m (221)


No. 20
Material: La5Al2S12
Method: DFT, PBE
State: optimized geometry

Cell lengths 7.0637, 8.6292, 9.0950 Å; angles 105.33, 90.00, 114.16 degrees
Closest atoms and distances in Å follow each position.
Fractional positions:
1 S 0.9032 0.3025 0.5735  4 La 2.88-2.92
2 S 0.3994 0.3025 0.5735  4 La 2.88-2.92
3 S 0.4041 0.3177 0.0790  1 Al 2.40
4 S 0.9977 0.9954 0.8238  2 Al 2.45
5 La 0.3135 0.6269 0.1641  7 S 2.90-2.98
6 S 0.0023 0.0046 0.1762  2 Al 2.45
7 S 0.5024 0.0047 0.1901  2 Al 2.40
8 S 0.0968 0.6975 0.4265  4 La 2.88-2.92
9 La 0.0000 0.0000 0.5000  6 S 2.88-2.96
10 S 0.9136 0.3177 0.0790  1 Al 2.40
11 La 0.3048 0.6096 0.6480  7 S 2.90-2.98
12 S 0.5959 0.6823 0.9210  1 Al 2.40
13 Al 0.2628 0.0000 0.0000  6 S 2.40-2.45
14 La 0.6865 0.3731 0.8359  7 S 2.90-2.98
15 S 0.4976 0.9953 0.8099  2 Al 2.40
16 La 0.6952 0.3904 0.3520  7 S 2.90-2.98
17 S 0.0864 0.6823 0.9210  1 Al 2.40
18 S 0.6006 0.6975 0.4265  4 La 2.88-2.92
19 Al 0.7372 0.0000 0.0000  6 S 2.40-2.45

Formation energy (no corrections) = -1589 meV/atom
SG = C2/m (12)